The following is a DFT calculation (GGA-PBE) of crystalline LiPu2Fe at its relaxed geometry.

```
4
Lattice="4.7250 0.0000 0.0000 0.0000 3.5199 0.0000 0.0000 0.0000 3.5199" Properties=species:S:1:pos:R:3 pbc="T T T"
Li 2.3625 1.7599 1.7599
Fe 2.3625 0.0000 0.0000
Pu 0.0000 0.0000 1.7599
Pu 0.0000 1.7599 0.0000
```

## Properties
As for the polymorph energy (0 for the lowest one): 476 meV per atom. The calculated formation energy is 0.6207 eV/atom. As for the crystal system: tetragonal. The space group is P4/mmm (123). As for the density of states at the Fermi level: 7.83 states/eV per cell.

The following is a DFT calculation (GGA-PBE) of crystalline Cd12In6Pb at its relaxed geometry.

```
19
Lattice="-2.6221 5.5585 -5.8382 5.5158 -5.2073 -3.7837 -6.7219 -4.6537 2.2396" Properties=species:S:1:pos:R:3 pbc="T T T"
Cd -5.0838 2.0420 -4.4914
Cd -3.1679 -1.5013 -6.2983
Cd -4.1604 -3.9736 -4.3427
Cd -2.6304 -0.1949 -1.5814
Cd 0.3323 -0.3289 -3.0397
Cd -0.6603 -2.8012 -1.0841
Cd -3.5110 -6.1290 -0.5449
Cd 2.8525 -2.3669 -6.0373
Cd 1.2556 -6.3446 -2.8910
Cd -0.3172 1.8264 -6.8375
Cd -6.6807 -1.9357 -1.3451
Cd -1.1978 -4.1077 -5.8009
In -2.2240 0.8401 -4.5957
In -3.8338 -3.1697 -1.4240
In 0.9713 -3.3871 -3.7890
In 0.0056 -1.1329 -5.9584
In -1.6042 -5.1427 -2.7867
In -4.7995 -0.9155 -3.5934
Pb 0.0000 0.0000 0.0000
```

## Properties
As for the polymorph energy (0 for the lowest one): 55 meV per atom. The calculated formation energy is 0.0858 eV/atom. As for the crystal system: trigonal. The space group is R-3m (166). As for the density of states at the Fermi level: 6.98 states/eV per cell.

The following is a DFT calculation (GGA-PBE) of crystalline Rh2AuI8 at its relaxed geometry.

```
11
Lattice="8.7771 0.0000 0.0000 -4.3886 5.9071 -2.3701 0.0000 -1.9626 10.8787" Properties=species:S:1:pos:R:3 pbc="T T T"
Rh 4.3885 3.5574 4.5089
Rh 0.0000 0.3871 3.9997
Au 0.0000 0.0000 0.0000
I 6.9852 0.3127 1.9980
I 1.7919 0.3127 1.9980
I -2.5966 3.6319 6.5106
I 0.0000 3.0261 4.0685
I 2.5966 3.6319 6.5106
I 4.3885 3.6533 1.8867
I 0.0000 0.2912 6.6219
I 4.3886 0.9184 4.4401
```

## Properties
As for the crystal system: monoclinic. The space group is C2/m (12). As for the density of states at the Fermi level: 3.99 states/eV per cell. The calculation puts the formation energy (no corrections) at -24.6 meV/atom.

The following is a DFT calculation (GGA-PBE) of crystalline Mg2ScSe at its relaxed geometry.

```
4
Lattice="3.4499 0.0387 0.0000 -0.0415 3.4498 0.0000 0.0000 0.0000 7.4069" Properties=species:S:1:pos:R:3 pbc="T T T"
Mg 0.0000 0.0000 7.1179
Mg 0.0000 0.0000 3.9926
Sc 1.7042 1.7442 1.8517
Se 1.7042 1.7442 5.5552
```

## Properties
As for the crystal system: tetragonal. The space group is P4/mmm (123). As for the density of states at the Fermi level: 2.53 states/eV per cell. The calculation puts the formation energy (no corrections) at -383.8 meV/atom.

The following is a DFT calculation (GGA-PBE) of crystalline Sm3HoEr at its relaxed geometry.

```
10
Lattice="-8.1288 2.6097 -4.4687 -1.0262 -5.4801 -1.3336 -1.2734 -1.2309 6.0377" Properties=species:S:1:pos:R:3 pbc="T T T"
Sm -3.5882 -5.6275 2.4748
Sm -1.5254 -3.4905 4.4274
Sm -6.1497 -1.6783 0.5398
Sm -4.6891 -4.6149 -0.8378
Sm -9.3135 -2.8031 -4.7256
Sm -7.2508 -0.6662 -2.7730
Ho -7.0748 -4.8303 1.8825
Ho -3.7641 -1.4630 -2.1806
Er -2.6594 -2.4760 1.1323
Er -8.1795 -3.8172 -1.4303
```

## Properties
As for the polymorph energy (0 for the lowest one): 0 meV per atom. The calculated formation energy is 0.0173 eV/atom. As for the crystal system: monoclinic. The space group is P2_1/m (11). As for the density of states at the Fermi level: 18.99 states/eV per cell.

The following is a DFT calculation (GGA-PBE) of crystalline HfRuO2F at its relaxed geometry.

```
5
Lattice="3.9791 0.0000 0.0000 0.0000 3.9791 0.0000 0.0000 0.0000 3.9771" Properties=species:S:1:pos:R:3 pbc="T T T"
Ru 0.0000 0.0000 0.0000
Hf 1.9895 1.9895 1.9886
O 0.0000 1.9895 0.0000
O 1.9895 0.0000 0.0000
F 0.0000 0.0000 1.9886
```

## Properties
As for the crystal system: tetragonal. The space group is P4/mmm (123). As for the density of states at the Fermi level: 4.41 states/eV per cell. The calculation puts the formation energy (no corrections) at -657.4 meV/atom.

The following is a DFT calculation (GGA-PBE) of crystalline Tb2MgAl2Ir5 at its relaxed geometry.

```
20
Lattice="-1.7647 2.9069 -0.7410 -8.5713 -4.9328 1.0612 -0.1639 2.3630 9.6600" Properties=species:S:1:pos:R:3 pbc="T T T"
Tb -5.8168 -2.9169 2.4099
Tb -2.9184 0.3471 8.3113
Tb -1.5557 -0.0974 3.3227
Tb -7.1795 -2.4724 7.3985
Mg 0.0000 0.0000 0.0000
Mg -4.3676 -1.2849 5.3606
Al -1.1653 0.8628 6.1596
Al -7.5699 -3.4326 4.5616
Al -5.4922 -1.0082 9.1242
Al -3.2429 -1.5616 1.5971
Ir -2.6746 0.5818 0.4784
Ir -7.8253 -0.2447 9.5018
Ir -1.5697 3.0045 7.3506
Ir -7.0208 -1.0105 4.5824
Ir -8.9302 -2.6674 2.6296
Ir -3.4790 1.3476 5.3978
Ir -5.8415 0.3389 7.0670
Ir -4.6583 -0.0018 2.9132
Ir -5.1680 -1.0130 0.1601
Ir -0.9643 2.6350 4.4595
```

## Properties
The calculated formation energy is -0.6912 eV/atom. As for the crystal system: tetragonal. The space group is P4/mbm (127). As for the density of states at the Fermi level: 9.27 states/eV per cell.

The following is a DFT calculation (GGA-PBE) of crystalline Na2Cd7In12 at its relaxed geometry.

```
21
Lattice="3.2877 0.0000 0.0000 0.0000 11.9843 -6.9191 0.0000 0.0000 13.8382" Properties=species:S:1:pos:R:3 pbc="T T T"
Na 0.8078 3.9948 6.9191
Na 2.4798 7.9895 0.0000
Cd 1.6438 0.0000 0.0000
Cd 0.8180 10.4684 -1.8686
Cd 0.8180 5.1317 -1.2125
Cd 0.8180 8.3683 3.0811
Cd 2.4696 1.5158 8.7878
Cd 2.4696 6.8525 8.1316
Cd 2.4696 3.6159 3.8380
In 0.8407 7.5595 -3.0602
In 0.8407 5.5543 1.9025
In 0.8407 10.8547 1.1577
In 2.4470 4.4247 9.9793
In 2.4470 6.4300 5.0167
In 2.4470 1.1296 5.7614
In 0.7706 0.9905 2.8323
In 0.7706 1.9576 11.5642
In 0.7706 9.0361 6.3608
In 2.5170 10.9937 4.0868
In 2.5170 10.0266 -4.6451
In 2.5170 2.9481 0.5584
```

## Properties
The calculated formation energy is -0.0071 eV/atom. As for the crystal system: trigonal. The space group is P-3 (147). As for the density of states at the Fermi level: 8.71 states/eV per cell.